# ZrZn2Co, relaxed, DFT PBE
data_ZrZn2Co
_cell_length_a 8.708
_cell_length_b 8.708
_cell_length_c 8.708
_cell_angle_alpha 19.63
_cell_angle_beta 19.63
_cell_angle_gamma 19.63
_space_group_name_H-M_alt 'P 1'
_space_group_IT_number 1
_space_group_name_Hall 'P 1'
loop_
_atom_site_label
_atom_site_type_symbol
_atom_site_fract_x
_atom_site_fract_y
_atom_site_fract_z
Co1 Co 0.746 0.746 0.746
Zn1 Zn 0.006 0.006 0.006
Zn2 Zn 0.255 0.255 0.255
Zr1 Zr 0.493 0.493 0.493
# SG = R3m (160)
# calculated volume = 16.30 Å³/atom
# total DFT energy (no corrections) = -0.162 Ha/atom
# density of states at the Fermi level = 4.08 states/eV per cell
# DFT formation energy = 132 meV per atom

# NbTe4, relaxed, DFT PBE
data_NbTe4
_cell_length_a 6.613
_cell_length_b 6.613
_cell_length_c 6.939
_cell_angle_alpha 90.00
_cell_angle_beta 90.00
_cell_angle_gamma 90.00
_space_group_name_H-M_alt 'P 1'
_space_group_IT_number 1
_space_group_name_Hall 'P 1'
loop_
_atom_site_label
_atom_site_type_symbol
_atom_site_fract_x
_atom_site_fract_y
_atom_site_fract_z
Nb1 Nb 0.000 0.000 0.750
Nb2 Nb 0.000 0.000 0.250
Te1 Te 0.323 0.141 0.500
Te2 Te 0.677 0.859 0.500
Te3 Te 0.323 0.859 0.000
Te4 Te 0.677 0.141 0.000
Te5 Te 0.141 0.677 0.500
Te6 Te 0.859 0.323 0.500
Te7 Te 0.859 0.677 0.000
Te8 Te 0.141 0.323 0.000
# SG = P4/mcc (124)
# calculated volume = 30.34 Å³/atom
# total DFT energy (no corrections) = -0.178 Ha/atom
# density of states at the Fermi level = 2.06 states/eV per cell
# raw formation energy = -326 meV/atom
# energy above the most stable polymorph in this dataset = 11 meV/atom

# Cs3Tl3Pb8, relaxed, DFT PBE
data_Cs3Tl3Pb8
_cell_length_a 5.252
_cell_length_b 10.497
_cell_length_c 10.497
_cell_angle_alpha 75.73
_cell_angle_beta 75.51
_cell_angle_gamma 75.51
_space_group_name_H-M_alt 'P 1'
_space_group_IT_number 1
_space_group_name_Hall 'P 1'
loop_
_atom_site_label
_atom_site_type_symbol
_atom_site_fract_x
_atom_site_fract_y
_atom_site_fract_z
Cs1 Cs 0.500 0.500 0.500
Cs2 Cs 0.798 0.202 0.202
Cs3 Cs 0.202 0.798 0.798
Tl1 Tl 0.500 0.000 0.000
Tl2 Tl 0.000 0.821 0.179
Tl3 Tl 0.000 0.179 0.821
Pb1 Pb 0.660 0.060 0.621
Pb2 Pb 0.340 0.940 0.379
Pb3 Pb 0.660 0.621 0.060
Pb4 Pb 0.340 0.379 0.940
Pb5 Pb 0.857 0.781 0.505
Pb6 Pb 0.143 0.219 0.495
Pb7 Pb 0.857 0.505 0.781
Pb8 Pb 0.143 0.495 0.219
# SG = Immm (71)
# calculated volume = 38.00 Å³/atom
# total DFT energy (no corrections) = -0.107 Ha/atom
# density of states at the Fermi level = 6.33 states/eV per cell
# DFT formation energy = -95 meV per atom

# CrSb2C2, relaxed, DFT PBE
data_CrSb2C2
_cell_length_a 6.918
_cell_length_b 6.918
_cell_length_c 3.308
_cell_angle_alpha 90.00
_cell_angle_beta 90.00
_cell_angle_gamma 90.00
_space_group_name_H-M_alt 'P 1'
_space_group_IT_number 1
_space_group_name_Hall 'P 1'
loop_
_atom_site_label
_atom_site_type_symbol
_atom_site_fract_x
_atom_site_fract_y
_atom_site_fract_z
Sb1 Sb 0.350 0.850 0.000
Sb2 Sb 0.850 0.650 0.000
Sb3 Sb 0.650 0.150 0.000
Sb4 Sb 0.150 0.350 0.000
C1 C 0.202 0.702 0.500
C2 C 0.702 0.798 0.500
C3 C 0.798 0.298 0.500
C4 C 0.298 0.202 0.500
Cr1 Cr 0.000 0.000 0.000
Cr2 Cr 0.500 0.500 0.000
# SG = P4/mbm (127)
# calculated volume = 15.83 Å³/atom
# total DFT energy (no corrections) = -0.195 Ha/atom
# density of states at the Fermi level = 12.75 states/eV per cell
# raw formation energy = 1956 meV/atom
# energy above the most stable polymorph in this dataset = 103 meV/atom